[1]
## LuMgScTc (PBE)

Data for a relaxed structure of LuMgScTc.

Properties
E	-5.783	eV/atom
calculated formation energy	-0.3	eV per formula unit

```
data_LuMgScTc
_cell_length_a 4.850
_cell_length_b 4.850
_cell_length_c 4.850
_cell_angle_alpha 60.00
_cell_angle_beta 60.00
_cell_angle_gamma 60.00
_space_group_name_H-M_alt 'P 1'
_space_group_IT_number 1
loop_
_space_group_symop_operation_xyz
'x,y,z'
loop_
_atom_site_label
_atom_site_fract_x
_atom_site_fract_y
_atom_site_fract_z
Sc1 0.000 0.000 0.000
Mg1 0.750 0.750 0.750
Lu1 0.500 0.500 0.500
Tc1 0.250 0.250 0.250
```

[2]
## LuThMgSc (PBE)

Data for a relaxed structure of LuThMgSc.

Properties
E	-4.890	eV/atom
calculated formation energy	0.3	eV per formula unit

```
data_LuThMgSc
_cell_length_a 5.374
_cell_length_b 5.374
_cell_length_c 5.374
_cell_angle_alpha 60.00
_cell_angle_beta 60.00
_cell_angle_gamma 60.00
_space_group_name_H-M_alt 'P 1'
_space_group_IT_number 1
loop_
_space_group_symop_operation_xyz
'x,y,z'
loop_
_atom_site_label
_atom_site_fract_x
_atom_site_fract_y
_atom_site_fract_z
Sc1 0.000 0.000 0.000
Mg1 0.500 0.500 0.500
Lu1 0.750 0.750 0.750
Th1 0.250 0.250 0.250
```

[3]
## LuMgScTl (PBE)

Data for a relaxed structure of LuMgScTl.

Properties
E	-3.875	eV/atom
calculated formation energy	-0.7	eV per formula unit

```
data_LuMgScTl
_cell_length_a 5.147
_cell_length_b 5.147
_cell_length_c 5.147
_cell_angle_alpha 60.00
_cell_angle_beta 60.00
_cell_angle_gamma 60.00
_space_group_name_H-M_alt 'P 1'
_space_group_IT_number 1
loop_
_space_group_symop_operation_xyz
'x,y,z'
loop_
_atom_site_label
_atom_site_fract_x
_atom_site_fract_y
_atom_site_fract_z
Sc1 0.250 0.250 0.250
Tl1 0.000 0.000 0.000
Lu1 0.750 0.750 0.750
Mg1 0.500 0.500 0.500
```

[4]
## TmLuMgSc (PBE)

Data for a relaxed structure of TmLuMgSc.

Properties
E	-4.184	eV/atom
calculated formation energy	0.2	eV per formula unit

```
data_TmLuMgSc
_cell_length_a 5.315
_cell_length_b 5.315
_cell_length_c 5.315
_cell_angle_alpha 60.00
_cell_angle_beta 60.00
_cell_angle_gamma 60.00
_space_group_name_H-M_alt 'P 1'
_space_group_IT_number 1
loop_
_space_group_symop_operation_xyz
'x,y,z'
loop_
_atom_site_label
_atom_site_fract_x
_atom_site_fract_y
_atom_site_fract_z
Sc1 0.500 0.500 0.500
Mg1 0.000 0.000 0.000
Lu1 0.250 0.250 0.250
Tm1 0.750 0.750 0.750
```

[5]
## LuMgScV (PBE)

Data for a relaxed structure of LuMgScV.

Properties
E	-5.246	eV/atom
calculated formation energy	0.6	eV per formula unit

```
data_LuMgScV
_cell_length_a 5.011
_cell_length_b 5.011
_cell_length_c 5.011
_cell_angle_alpha 60.00
_cell_angle_beta 60.00
_cell_angle_gamma 60.00
_space_group_name_H-M_alt 'P 1'
_space_group_IT_number 1
loop_
_space_group_symop_operation_xyz
'x,y,z'
loop_
_atom_site_label
_atom_site_fract_x
_atom_site_fract_y
_atom_site_fract_z
Sc1 0.000 0.000 0.000
Mg1 0.750 0.750 0.750
Lu1 0.500 0.500 0.500
V1 0.250 0.250 0.250
```

[6]
## YLuMgSc (PBE)

Data for a relaxed structure of YLuMgSc.

Properties
E	-4.691	eV/atom
calculated formation energy	0.1	eV per formula unit

```
data_YLuMgSc
_cell_length_a 5.350
_cell_length_b 5.350
_cell_length_c 5.350
_cell_angle_alpha 60.00
_cell_angle_beta 60.00
_cell_angle_gamma 60.00
_space_group_name_H-M_alt 'P 1'
_space_group_IT_number 1
loop_
_space_group_symop_operation_xyz
'x,y,z'
loop_
_atom_site_label
_atom_site_fract_x
_atom_site_fract_y
_atom_site_fract_z
Y1 0.000 0.000 0.000
Sc1 0.250 0.250 0.250
Mg1 0.750 0.750 0.750
Lu1 0.500 0.500 0.500
```

[7]
## Lu2MgSe (PBE)

Data for a relaxed structure of Lu2MgSe.

Properties
raw formation energy	-0.451	eV per atom
E	-3.982	eV/atom

```
data_Lu2MgSe
_cell_length_a 3.629
_cell_length_b 3.629
_cell_length_c 10.263
_cell_angle_alpha 79.82
_cell_angle_beta 79.82
_cell_angle_gamma 60.00
_space_group_name_H-M_alt 'P 1'
_space_group_IT_number 1
loop_
_space_group_symop_operation_xyz
'x,y,z'
loop_
_atom_site_label
_atom_site_fract_x
_atom_site_fract_y
_atom_site_fract_z
Mg1 0.000 0.000 0.000
Lu1 0.106 0.106 0.682
Lu2 0.894 0.894 0.318
Se1 0.500 0.500 0.500
```

[8]
## LuMgSe3 (PBE)

Data for a relaxed structure of LuMgSe3.

Properties
raw formation energy	-1.142	eV per atom
E	-4.456	eV/atom

```
data_LuMgSe3
_cell_length_a 7.243
_cell_length_b 7.243
_cell_length_c 6.595
_cell_angle_alpha 72.52
_cell_angle_beta 72.52
_cell_angle_gamma 110.76
_space_group_name_H-M_alt 'P 1'
_space_group_IT_number 1
loop_
_space_group_symop_operation_xyz
'x,y,z'
loop_
_atom_site_label
_atom_site_fract_x
_atom_site_fract_y
_atom_site_fract_z
Lu1 0.776 0.776 0.216
Lu2 0.224 0.224 0.784
Mg1 0.668 0.332 0.000
Mg2 0.332 0.668 0.000
Se1 0.888 0.191 0.207
Se2 0.112 0.809 0.793
Se3 0.809 0.112 0.793
Se4 0.191 0.888 0.207
Se5 0.586 0.586 0.703
Se6 0.414 0.414 0.297
```

[9]
## LuMgSi4 (PBE)

Data for a relaxed structure of LuMgSi4.

Properties
raw formation energy	-0.161	eV per atom
E	-4.795	eV/atom

```
data_LuMgSi4
_cell_length_a 5.214
_cell_length_b 5.214
_cell_length_c 5.214
_cell_angle_alpha 60.00
_cell_angle_beta 60.00
_cell_angle_gamma 60.00
_space_group_name_H-M_alt 'P 1'
_space_group_IT_number 1
loop_
_space_group_symop_operation_xyz
'x,y,z'
loop_
_atom_site_label
_atom_site_fract_x
_atom_site_fract_y
_atom_site_fract_z
Si1 0.626 0.626 0.121
Si2 0.626 0.121 0.626
Si3 0.626 0.626 0.626
Si4 0.121 0.626 0.626
Lu1 0.250 0.250 0.250
Mg1 0.000 0.000 0.000
```

[10]
## Sm2LuMg (PBE)

Data for a relaxed structure of Sm2LuMg.

Properties
E	-3.910	eV/atom
calculated formation energy	-0.1	eV per formula unit
ΔE to the lowest computed polymorph	0.0000	eV/atom

```
data_Sm2LuMg
_cell_length_a 3.658
_cell_length_b 3.658
_cell_length_c 9.010
_cell_angle_alpha 90.00
_cell_angle_beta 90.00
_cell_angle_gamma 90.00
_space_group_name_H-M_alt 'P 1'
_space_group_IT_number 1
loop_
_space_group_symop_operation_xyz
'x,y,z'
loop_
_atom_site_label
_atom_site_fract_x
_atom_site_fract_y
_atom_site_fract_z
Mg1 0.500 0.500 0.000
Lu1 0.500 0.500 0.500
Sm1 0.000 0.000 0.765
Sm2 0.000 0.000 0.235
```

[11]
## SmLuMg2 (PBE)

Data for a relaxed structure of SmLuMg2.

Properties
E	-3.177	eV/atom
calculated formation energy	-0.3	eV per formula unit
ΔE to the lowest computed polymorph	0.0100	eV/atom

```
data_SmLuMg2
_cell_length_a 3.858
_cell_length_b 5.308
_cell_length_c 5.308
_cell_angle_alpha 90.00
_cell_angle_beta 90.00
_cell_angle_gamma 90.00
_space_group_name_H-M_alt 'P 1'
_space_group_IT_number 1
loop_
_space_group_symop_operation_xyz
'x,y,z'
loop_
_atom_site_label
_atom_site_fract_x
_atom_site_fract_y
_atom_site_fract_z
Mg1 0.000 0.000 0.500
Mg2 0.000 0.500 0.000
Lu1 0.500 0.500 0.500
Sm1 0.500 0.000 0.000
```

[12]
## SmLu4Mg (PBE)

Data for a relaxed structure of SmLu4Mg.

Properties
E	-3.828	eV/atom
calculated formation energy	1.4	eV per formula unit

```
data_SmLu4Mg
_cell_length_a 6.389
_cell_length_b 6.389
_cell_length_c 6.389
_cell_angle_alpha 60.00
_cell_angle_beta 60.00
_cell_angle_gamma 60.00
_space_group_name_H-M_alt 'P 1'
_space_group_IT_number 1
loop_
_space_group_symop_operation_xyz
'x,y,z'
loop_
_atom_site_label
_atom_site_fract_x
_atom_site_fract_y
_atom_site_fract_z
Mg1 0.250 0.250 0.250
Lu1 0.625 0.625 0.124
Lu2 0.625 0.124 0.625
Lu3 0.625 0.625 0.625
Lu4 0.124 0.625 0.625
Sm1 0.000 0.000 0.000
```

[13]
## Sm2LuMg (PBE)

Data for a relaxed structure of Sm2LuMg.

Properties
E	-3.877	eV/atom
calculated formation energy	0.0	eV per formula unit
ΔE to the lowest computed polymorph	0.0330	eV/atom

```
data_Sm2LuMg
_cell_length_a 5.526
_cell_length_b 5.526
_cell_length_c 5.526
_cell_angle_alpha 60.00
_cell_angle_beta 60.00
_cell_angle_gamma 60.00
_space_group_name_H-M_alt 'P 1'
_space_group_IT_number 1
loop_
_space_group_symop_operation_xyz
'x,y,z'
loop_
_atom_site_label
_atom_site_fract_x
_atom_site_fract_y
_atom_site_fract_z
Mg1 0.500 0.500 0.500
Lu1 0.000 0.000 0.000
Sm1 0.250 0.250 0.250
Sm2 0.750 0.750 0.750
```

[14]
## SmLuMg (PBE)

Data for a relaxed structure of SmLuMg.

Properties
E	-3.559	eV/atom
calculated formation energy	0.2	eV per formula unit
ΔE to the lowest computed polymorph	0.0853	eV/atom

```
data_SmLuMg
_cell_length_a 3.384
_cell_length_b 5.434
_cell_length_c 5.434
_cell_angle_alpha 120.00
_cell_angle_beta 90.00
_cell_angle_gamma 90.00
_space_group_name_H-M_alt 'P 1'
_space_group_IT_number 1
loop_
_space_group_symop_operation_xyz
'x,y,z'
loop_
_atom_site_label
_atom_site_fract_x
_atom_site_fract_y
_atom_site_fract_z
Mg1 0.307 0.333 0.667
Lu1 0.062 0.000 0.000
Sm1 0.631 0.667 0.333
```

[15]
## Sm2LuMg (PBE)

Data for a relaxed structure of Sm2LuMg.

Properties
E	-3.709	eV/atom
calculated formation energy	0.7	eV per formula unit
ΔE to the lowest computed polymorph	0.2015	eV/atom

```
data_Sm2LuMg
_cell_length_a 3.455
_cell_length_b 3.455
_cell_length_c 12.471
_cell_angle_alpha 82.04
_cell_angle_beta 82.04
_cell_angle_gamma 60.00
_space_group_name_H-M_alt 'P 1'
_space_group_IT_number 1
loop_
_space_group_symop_operation_xyz
'x,y,z'
loop_
_atom_site_label
_atom_site_fract_x
_atom_site_fract_y
_atom_site_fract_z
Mg1 0.000 0.000 0.000
Lu1 0.500 0.500 0.500
Sm1 0.090 0.090 0.730
Sm2 0.910 0.910 0.270
```